GGA-PBE MgGa2Ni2, optimized geometry; formation enthalpy at 0 K = -330 meV per atom; calculated volume = 13.938 Å³ per atom; density = 6.70 g/cm³
1.0
7.055 0.000 0.000
0.000 7.055 0.000
0.000 0.000 2.801
Ni Mg Ga
4 2 4
Direct
0.166 0.666 0.500
0.666 0.834 0.500
0.834 0.334 0.500
0.334 0.166 0.500
0.000 0.000 0.000
0.500 0.500 0.000
0.368 0.868 0.000
0.868 0.632 0.000
0.632 0.132 0.000
0.132 0.368 0.000


GGA-PBE Mg5Ga12Ni2, optimized geometry; formation enthalpy at 0 K = -169 meV per atom; calculated volume = 17.486 Å³ per atom; density = 5.38 g/cm³
1.0
6.239 0.107 0.230
-0.275 7.518 3.961
-0.249 0.839 7.515
Mg Ga Ni
5 12 2
Direct
0.508 0.734 0.533
0.006 0.677 0.645
0.500 0.000 0.000
0.994 0.323 0.355
0.492 0.266 0.467
0.009 0.102 0.796
0.725 0.372 0.715
0.725 0.913 0.715
0.285 0.374 0.723
0.285 0.903 0.723
0.711 0.502 0.995
0.289 0.498 0.005
0.715 0.626 0.277
0.715 0.097 0.277
0.275 0.628 0.285
0.275 0.087 0.285
0.991 0.898 0.204
0.000 0.726 0.000
0.000 0.274 0.000